No. 1
Li6SnPd2: optimized geometry, PBE.

Results
magnetization: 0.00 μB/f.u.
mass density: 4.36 g/cm³
formation energy: -0.326 eV per atom
energy above the most stable polymorph in this dataset: 0.090 eV/atom

Unit cell a=7.7407 b=7.7407 c=2.8846 alpha=100.37 beta=100.37 gamma=57.17
Closest atoms and distances in Å follow each position.
Positions (direct):
Li 0.1471 0.5086 0.8295  4 Li 2.58-2.74, 3 Pd 2.68-2.79
Li 0.1604 0.8396 0.0000  3 Li 2.38-2.58
Li 0.4914 0.8529 0.1705  4 Li 2.58-2.74, 3 Pd 2.68-2.79
Li 0.5086 0.1471 0.8295  4 Li 2.58-2.74, 3 Pd 2.68-2.79
Li 0.8396 0.1604 0.0000  3 Li 2.38-2.58
Li 0.8529 0.4914 0.1705  4 Li 2.58-2.74, 3 Pd 2.68-2.79
Sn 0.5000 0.5000 0.5000  2 Sn 2.88, 12 Li 2.90-3.03
Pd 0.1531 0.1531 0.6489  10 Li 2.68-2.79, 2 Pd 2.88
Pd 0.8469 0.8469 0.3511  10 Li 2.68-2.79, 2 Pd 2.88

No. 2
Tc2TeSe: optimized geometry, PBE.

Results
magnetization: 0.00 μB/f.u.
mass density: 8.38 g/cm³
energy above the most stable polymorph in this dataset: 0.000 eV/atom

Unit cell a=3.0833 b=3.0833 c=8.3926 alpha=90.00 beta=90.00 gamma=90.00
Closest atoms and distances in Å follow each position.
Positions (direct):
Tc 0.0000 0.0000 0.0000  4 Se 2.58, 4 Tc 2.87
Tc 0.5000 0.5000 0.2227  4 Te 2.71, 4 Tc 2.87
Te 0.0000 0.0000 0.4141  4 Tc 2.71
Se 0.5000 0.5000 0.8364  4 Tc 2.58

No. 3
La2PRh4: optimized geometry, PBE.

Results
magnetization: 0.00 μB/f.u.
mass density: 8.24 g/cm³
formation energy: -0.600 eV per atom

Unit cell a=7.9922 b=7.9922 c=7.9922 alpha=147.70 beta=147.70 gamma=46.33
Closest atoms and distances in Å follow each position.
Positions (direct):
La 0.1598 0.1598 0.0000  1 Rh 2.75
La 0.8402 0.8402 0.0000  1 Rh 2.75
P 0.5000 0.5000 0.0000  6 Rh 2.22-2.25
Rh 0.0000 0.5000 0.5000  2 P 2.22
Rh 0.3470 0.3470 0.0000  1 P 2.25
Rh 0.5000 0.0000 0.5000  2 P 2.22
Rh 0.6530 0.6530 0.0000  1 P 2.25

What is the magnetization in the third record?
0.00 μB/f.u.

magnetization of number 3 (La2PRh4)?
0.00 μB/f.u.

Look up the mass density of the third one.
8.24 g/cm³